# Ba5In | the Alexandria database | PBEsol | optimized geometry
data_Ba5In
_chemical_formula_sum 'Ba10 In2'
_cell_length_a 14.7570
_cell_length_b 4.3405
_cell_length_c 10.3156
_cell_angle_alpha 90.00
_cell_angle_beta 112.65
_cell_angle_gamma 90.00
_space_group_name_H-M_alt 'C 1 2/m 1'
_space_group_IT_number 12
loop_
_space_group_symop_operation_xyz
'x,y,z'
'-x,-y,-z'
'-x,y,-z'
'x,-y,z'
'x+1/2,y+1/2,z'
'-x+1/2,-y+1/2,-z'
'-x+1/2,y+1/2,-z'
'x+1/2,-y+1/2,z'
loop_
_atom_site_label
_atom_site_fract_x
_atom_site_fract_y
_atom_site_fract_z
Ba1 0.0000 0.0000 0.0000
Ba2 0.1326 0.5000 0.3689
Ba3 0.1602 0.5000 0.7772
In1 0.0000 0.0000 0.5000
# E_tot   -29.2 eV per cell

---

# CoNiIr2 | the Alexandria database | PBEsol | optimized geometry
data_CoNiIr2
_chemical_formula_sum 'Co2 Ni2 Ir4'
_cell_length_a 8.6062
_cell_length_b 2.6376
_cell_length_c 4.3781
_cell_angle_alpha 90.00
_cell_angle_beta 100.64
_cell_angle_gamma 90.00
_space_group_name_H-M_alt 'C 1 m 1'
_space_group_IT_number 8
loop_
_space_group_symop_operation_xyz
'x,y,z'
'x,-y,z'
'x+1/2,y+1/2,z'
'x+1/2,-y+1/2,z'
loop_
_atom_site_label
_atom_site_fract_x
_atom_site_fract_y
_atom_site_fract_z
Co1 0.0000 0.0000 0.0000
Ni1 0.2478 0.5000 0.2400
Ir1 0.2512 0.0000 0.7498
Ir2 0.4990 0.0000 0.4914
# E_tot   -66.9 eV per cell

---

# OsAu2Br | the Alexandria database | PBEsol | optimized geometry
data_OsAu2Br
_chemical_formula_sum 'Os2 Au4 Br2'
_cell_length_a 2.8415
_cell_length_b 4.5172
_cell_length_c 12.5957
_cell_angle_alpha 90.00
_cell_angle_beta 90.00
_cell_angle_gamma 90.00
_space_group_name_H-M_alt 'I m m 2'
_space_group_IT_number 44
loop_
_space_group_symop_operation_xyz
'x,y,z'
'-x,-y,z'
'-x,y,z'
'x,-y,z'
'x+1/2,y+1/2,z+1/2'
'-x+1/2,-y+1/2,z+1/2'
'-x+1/2,y+1/2,z+1/2'
'x+1/2,-y+1/2,z+1/2'
loop_
_atom_site_label
_atom_site_fract_x
_atom_site_fract_y
_atom_site_fract_z
Os1 0.0000 0.0000 0.0000
Au1 0.0000 0.0000 0.4609
Au2 0.0000 0.5000 0.3167
Br1 0.0000 0.5000 0.6620
# ΔE_f (raw)   0.657 eV per atom

---

# Nd2MgIrO6 | the Alexandria database | PBEsol | optimized geometry
data_Nd2MgIrO6
_chemical_formula_sum 'Nd4 Mg2 Ir2 O12'
_cell_length_a 5.4103
_cell_length_b 5.7125
_cell_length_c 9.4387
_cell_angle_alpha 90.00
_cell_angle_beta 124.65
_cell_angle_gamma 90.00
_space_group_name_H-M_alt 'P 1 21/c 1'
_space_group_IT_number 14
loop_
_space_group_symop_operation_xyz
'x,y,z'
'-x,-y,-z'
'-x,y+1/2,-z+1/2'
'x,-y+1/2,z+1/2'
loop_
_atom_site_label
_atom_site_fract_x
_atom_site_fract_y
_atom_site_fract_z
Nd1 0.2325 0.0646 0.2508
Mg1 0.5000 0.0000 0.0000
Ir1 0.0000 0.0000 0.5000
O1 0.1424 0.2046 0.9495
O2 0.2507 0.7011 0.9504
O3 0.3445 0.0276 0.7481
# ΔE_f (raw)   -2.508 eV per atom

---

# Y2ZnIr | the Alexandria database | PBEsol | optimized geometry
data_Y2ZnIr
_chemical_formula_sum 'Y2 Zn1 Ir1'
_cell_length_a 3.4460
_cell_length_b 3.4460
_cell_length_c 6.9434
_cell_angle_alpha 90.00
_cell_angle_beta 90.00
_cell_angle_gamma 90.00
_space_group_name_H-M_alt 'P 4/m m m'
_space_group_IT_number 123
_space_group_name_Hall '-P 4 2'
loop_
_atom_site_label
_atom_site_fract_x
_atom_site_fract_y
_atom_site_fract_z
Y1 0.0000 0.0000 0.2363
Zn1 0.5000 0.5000 0.5000
Ir1 0.5000 0.5000 0.0000
# E_tot   -27.4 eV per cell

---

# Rb2BeB | the Alexandria database | PBEsol | optimized geometry
data_Rb2BeB
_chemical_formula_sum 'Rb8 Be4 B4'
_cell_length_a 12.4172
_cell_length_b 12.4172
_cell_length_c 3.6963
_cell_angle_alpha 90.00
_cell_angle_beta 90.00
_cell_angle_gamma 90.00
_space_group_name_H-M_alt 'I -4 2 d'
_space_group_IT_number 122
_space_group_name_Hall 'I -4 2bw'
loop_
_atom_site_label
_atom_site_fract_x
_atom_site_fract_y
_atom_site_fract_z
Rb1 0.0467 0.7500 0.1250
Be1 0.0000 0.0000 0.5000
B1 0.0000 0.0000 0.0000
# E_tot   -41.5 eV per cell

---

# MgRePt2Pb | the Alexandria database | PBEsol | optimized geometry
data_MgRePt2Pb
_chemical_formula_sum 'Mg1 Re1 Pt2 Pb1'
_cell_length_a 4.5511
_cell_length_b 4.5511
_cell_length_c 4.7190
_cell_angle_alpha 90.00
_cell_angle_beta 90.00
_cell_angle_gamma 90.00
_space_group_name_H-M_alt 'P 4/m m m'
_space_group_IT_number 123
_space_group_name_Hall '-P 4 2'
loop_
_atom_site_label
_atom_site_fract_x
_atom_site_fract_y
_atom_site_fract_z
Mg1 0.0000 0.0000 0.0000
Re1 0.0000 0.0000 0.5000
Pt1 0.0000 0.5000 0.0000
Pb1 0.5000 0.5000 0.5000
# E_tot   -26.1 eV per cell

---

# Ca2P2H4O9 | the Alexandria database | PBEsol | optimized geometry
data_Ca2P2H4O9
_chemical_formula_sum 'Ca4 P4 H8 O18'
_cell_length_a 6.6674
_cell_length_b 7.2946
_cell_length_c 8.1179
_cell_angle_alpha 85.06
_cell_angle_beta 77.24
_cell_angle_gamma 72.45
_space_group_name_H-M_alt 'P -1'
_space_group_IT_number 2
loop_
_space_group_symop_operation_xyz
'x,y,z'
'-x,-y,-z'
loop_
_atom_site_label
_atom_site_fract_x
_atom_site_fract_y
_atom_site_fract_z
Ca1 0.1909 0.2490 0.0102
Ca2 0.2354 0.6487 0.2579
P1 0.2405 0.5043 0.6864
P2 0.3342 0.7881 0.8498
H1 0.1691 0.2779 0.5200
H2 0.1802 0.0576 0.3646
H3 0.1973 0.0886 0.6369
H4 0.4083 0.9856 0.2446
O1 0.0207 0.5084 0.8009
O2 0.1072 0.1663 0.5570
O3 0.1560 0.7660 0.9983
O4 0.2488 0.4713 0.5032
O5 0.2523 0.0006 0.2497
O6 0.2755 0.7153 0.6869
O7 0.3248 0.9995 0.8070
O8 0.4122 0.3601 0.7664
O9 0.4414 0.3320 0.1313
# E_tot   -227.0 eV per cell